## Li2NbMoRu (PBEsol)

Data for an optimized crystal structure of Li2NbMoRu.

abc: 4.3129 4.3129 4.4558
angles: 90.00 90.00 90.00
Space group P4/mmm (No. 123)
Unique sites:
1 Li 0.0000 0.5000 0.0000 x2
2 Nb 0.0000 0.0000 0.5000 x1
3 Mo 0.5000 0.5000 0.0000 x1
4 Ru 0.5000 0.5000 0.5000 x1

## Properties
The calculation puts the total magnetic moment at 0.0 μB/f.u. The calculation puts the density of states at the Fermi level at 3.95 states/eV per cell. The formation energy is 1.492 eV/atom.

## ZrPtOF2 (PBEsol)

Data for an optimized crystal structure of ZrPtOF2.

abc: 4.3056 4.3056 3.9249
angles: 90.00 90.00 90.00
Space group P4/mmm (No. 123)
Unique sites:
1 Zr 0.0000 0.0000 0.0000 x1
2 Pt 0.5000 0.5000 0.5000 x1
3 O 0.5000 0.5000 0.0000 x1
4 F 0.0000 0.5000 0.5000 x2

## Properties
The calculation puts the total magnetic moment at 1.6 μB/f.u. The calculation puts the density of states at the Fermi level at 3.92 states/eV per cell. The value obtained for the final energy is -27.5 eV for the cell shown.

## Be2CoReC (PBEsol)

Data for an optimized crystal structure of Be2CoReC.

abc: 4.1995 4.1995 4.3661
angles: 90.00 90.00 90.00
Space group P4/mmm (No. 123)
Unique sites:
1 Be 0.0000 0.5000 0.0000 x2
2 Co 0.0000 0.0000 0.5000 x1
3 Re 0.0000 0.0000 0.0000 x1
4 C 0.5000 0.5000 0.5000 x1

## Properties
The calculation puts the total magnetic moment at 1.3 μB/f.u. The calculation puts the density of states at the Fermi level at 6.38 states/eV per cell. The formation energy is 2.638 eV/atom.

- Look up the total magnetic moment of the third one.
  1.3 μB/f.u.